1.
This record from Alexandria via LeMat-Bulk describes RbCrI2N after structural relaxation. The functional is GGA-PBE.

Computed properties:
**Formation energy from raw total energies**: -361 meV per atom
**VASP energy**: -23.82 eV per cell
**Size of the total moment**: 1.99 μB per cell
**Excess energy over the best structure of this formula in the dataset**: 0 meV/atom

a b c (Å): 6.0319 6.0319 3.7486
angles (deg): 90.00 90.00 90.00
Space group P4/mmm (No. 123)
Unique sites:
Rb: 0.0000 0.0000 0.0000 x1
Cr: 0.5000 0.5000 0.5000 x1
I: 0.0000 0.5000 0.5000 x2
N: 0.5000 0.5000 0.0000 x1

---

2.
This record from Alexandria via LeMat-Bulk describes Na2PaTaN4 after structural relaxation. The functional is GGA-PBE.

Computed properties:
**Formation energy from raw total energies**: -1035 meV per atom
**VASP energy**: -65.57 eV per cell
**Size of the total moment**: 0.00 μB per cell

a b c (Å): 5.8192 3.3524 6.0235
angles (deg): 90.00 108.47 90.00
Space group P2/m (No. 10)
Unique sites:
Na: 0.0000 0.0000 0.0000 x1
Na: 0.5000 0.5000 0.0000 x1
Pa: 0.0000 0.5000 0.5000 x1
Ta: 0.5000 0.0000 0.5000 x1
N: 0.2517 0.0000 0.6901 x2
N: 0.2831 0.5000 0.3126 x2

---

3.
This record from Alexandria via LeMat-Bulk describes Ir2PtRh2 after structural relaxation. The functional is GGA-PBE.

Computed properties:
**Energy relative to the elements**: 0.007 eV per atom
**VASP energy**: -38.43 eV per cell
**Size of the total moment**: 0.00 μB per cell
**Excess energy over the best structure of this formula in the dataset**: 0 meV/atom

a b c (Å): 2.7440 2.7440 11.2261
angles (deg): 90.00 90.00 120.00
Space group P-3m1 (No. 164)
Unique sites:
Ir: 0.3333 0.6667 0.4004 x2
Pt: 0.0000 0.0000 0.0000 x1
Rh: 0.3333 0.6667 0.7954 x2

---

4.
This record from Alexandria via LeMat-Bulk describes CuOs2Pt after structural relaxation. The functional is GGA-PBE.

Computed properties:
**Energy relative to the elements**: 0.444 eV per atom
**VASP energy**: -30.82 eV per cell
**Size of the total moment**: 0.00 μB per cell
**Excess energy over the best structure of this formula in the dataset**: 356 meV/atom

a b c (Å): 2.7282 4.5512 4.6856
angles (deg): 90.00 90.00 90.00
Space group Pmmm (No. 47)
Unique sites:
Cu: 0.0000 0.0000 0.0000 x1
Os: 0.0000 0.5000 0.5000 x1
Os: 0.5000 0.0000 0.5000 x1
Pt: 0.5000 0.5000 0.0000 x1

---

5.
This record from Alexandria via LeMat-Bulk describes KReSb2 after structural relaxation. The functional is GGA-PBE.

Computed properties:
**Formation energy from raw total energies**: 57 meV per atom
**VASP energy**: -21.56 eV per cell
**Size of the total moment**: 0.00 μB per cell
**Excess energy over the best structure of this formula in the dataset**: 0 meV/atom

a b c (Å): 3.3120 3.3120 8.8022
angles (deg): 90.00 90.00 90.00
Space group P4/mmm (No. 123)
Unique sites:
K: 0.0000 0.0000 0.0000 x1
Re: 0.0000 0.0000 0.5000 x1
Sb: 0.5000 0.5000 0.3142 x2

---

6.
This record from Alexandria via LeMat-Bulk describes RbCd2Pd after structural relaxation. The functional is GGA-PBE.

Computed properties:
**Energy relative to the elements**: -0.026 eV per atom
**VASP energy**: -32.37 eV per cell
**Size of the total moment**: 0.00 μB per cell
**Excess energy over the best structure of this formula in the dataset**: 156 meV/atom

a b c (Å): 5.7008 5.7008 18.2057
angles (deg): 90.00 90.00 90.00
Space group I4_1/amd (No. 141, origin choice 2)
Unique sites:
Rb: 0.0000 0.2500 0.3750 x4
Cd: 0.0000 0.0000 0.0000 x8
Pd: 0.0000 0.2500 0.8750 x4

---

7.
This record from Alexandria via LeMat-Bulk describes KCaTa2 after structural relaxation. The functional is GGA-PBE.

Computed properties:
**Energy relative to the elements**: 1.145 eV per atom
**VASP energy**: -22.22 eV per cell
**Size of the total moment**: 0.00 μB per cell
**Excess energy over the best structure of this formula in the dataset**: 536 meV/atom

a b c (Å): 2.8650 2.8650 12.0165
angles (deg): 90.00 90.00 90.00
Space group P4/mmm (No. 123)
Unique sites:
K: 0.0000 0.0000 0.0000 x1
Ca: 0.0000 0.0000 0.5000 x1
Ta: 0.5000 0.5000 0.2725 x2

---

8.
This record from Alexandria via LeMat-Bulk describes LiAc4Cu3O12 after structural relaxation. The functional is GGA-PBE.

Computed properties:
**Formation energy from raw total energies**: -2070 meV per atom
**VASP energy**: -263.07 eV per cell
**Size of the total moment**: 0.00 μB per cell

a b c (Å): 7.8720 7.8720 7.8720
angles (deg): 90.00 90.00 90.00
Space group Im-3m (No. 229)
Unique sites:
Li: 0.0000 0.0000 0.0000 x2
Ac: 0.2500 0.2500 0.2500 x8
Cu: 0.0000 0.0000 0.5000 x6
O: 0.0000 0.0000 0.2613 x12
O: 0.0000 0.2500 0.5000 x12

---

9.
This record from Alexandria via LeMat-Bulk describes Ba2CuPb after structural relaxation. The functional is GGA-PBE.

Computed properties:
**Energy relative to the elements**: -0.239 eV per atom
**VASP energy**: -12.61 eV per cell
**Size of the total moment**: 0.00 μB per cell

a b c (Å): 4.0154 4.0719 8.7325
angles (deg): 90.00 90.00 90.00
Space group Pmmm (No. 47)
Unique sites:
Ba: 0.0000 0.0000 0.2297 x2
Cu: 0.5000 0.5000 0.0000 x1
Pb: 0.5000 0.5000 0.5000 x1

---

10.
This record from Alexandria via LeMat-Bulk describes ZrVTe3 after structural relaxation. The functional is GGA-PBE.

Computed properties:
**Formation energy from raw total energies**: 293 meV per atom
**VASP energy**: -25.63 eV per cell
**Size of the total moment**: 3.21 μB per cell
**Excess energy over the best structure of this formula in the dataset**: 669 meV/atom

a b c (Å): 5.2136 5.2136 5.2136
angles (deg): 90.00 90.00 90.00
Space group Pm-3m (No. 221)
Unique sites:
Zr: 0.0000 0.0000 0.0000 x1
V: 0.5000 0.5000 0.5000 x1
Te: 0.0000 0.5000 0.5000 x3

---

11.
This record from Alexandria via LeMat-Bulk describes Ac4TePb2 after structural relaxation. The functional is GGA-PBE.

Computed properties:
**Formation energy from raw total energies**: -577 meV per atom
**VASP energy**: -62.06 eV per cell
**Size of the total moment**: 0.00 μB per cell
**Excess energy over the best structure of this formula in the dataset**: 190 meV/atom

a b c (Å): 7.5513 7.2616 10.8136
angles (deg): 90.00 108.80 90.00
Space group P2_1/m (No. 11)
Unique sites:
Ac: 0.0078 0.0030 0.2546 x4
Ac: 0.4206 0.7500 0.5545 x2
Ac: 0.4482 0.7500 0.1525 x2
Te: 0.3817 0.7500 0.8433 x2
Pb: 0.1649 0.2500 0.0340 x2
Pb: 0.1928 0.2500 0.5470 x2

---

12.
This record from Alexandria via LeMat-Bulk describes Rb2TlBiCl6 after structural relaxation. The functional is GGA-PBE.

Computed properties:
**Formation energy from raw total energies**: -1438 meV per atom
**VASP energy**: -67.29 eV per cell
**Size of the total moment**: 0.00 μB per cell
**Excess energy over the best structure of this formula in the dataset**: 0 meV/atom

a b c (Å): 7.7769 8.2401 13.5539
angles (deg): 90.00 124.45 90.00
Space group P2_1/c (No. 14)
Unique sites:
Rb: 0.2214 0.0718 0.2474 x4
Tl: 0.0000 0.0000 0.5000 x2
Bi: 0.5000 0.0000 0.0000 x2
Cl: 0.1625 0.1815 0.9464 x4
Cl: 0.2614 0.7236 0.9344 x4
Cl: 0.3862 0.0447 0.7703 x4

---

13.
This record from Alexandria via LeMat-Bulk describes TcNiGe6 after structural relaxation. The functional is GGA-PBE.

Computed properties:
**Energy relative to the elements**: 0.105 eV per atom
**VASP energy**: -86.03 eV per cell
**Size of the total moment**: 0.00 μB per cell

a b c (Å): 5.8674 7.3670 6.6376
angles (deg): 90.00 101.73 90.00
Space group C2/m (No. 12)
Unique sites:
Tc: 0.0000 0.0000 0.0000 x2
Ni: 0.0000 0.5000 0.5000 x2
Ge: 0.1495 0.3046 0.8023 x8
Ge: 0.1719 0.0000 0.6447 x4